# 1
{"formula": "SiOsRu", "functional": "GGA-PBEsol", "state": "relaxed", "lattice": [[-1.3145, -3.7248, 0.0331], [2.5677, -3.0011, -0.0568], [0.4919, -2.2395, 3.2165]], "species": ["Si", "Os", "Ru"], "fractional_positions": [[0.2500, 0.2500, 0.2500], [0.0000, 0.0000, 0.0000], [0.5000, 0.5000, 0.5000]], "magnetic_moment_mub_per_atom": 0.0000, "raw_formation_energy_ev_per_atom": 0.0664, "sg": "F-43m (216)"}


# 2
{"formula": "SiOs2Ru", "functional": "GGA-PBEsol", "state": "relaxed", "lattice": [[2.7530, 0.0000, 0.0000], [0.0000, 3.7335, 0.0000], [0.0000, 0.0000, 5.2631]], "species": ["Os", "Os", "Ru", "Si"], "fractional_positions": [[0.0000, 0.0000, 0.0106], [0.5000, 0.5000, 0.2320], [0.0000, 0.0000, 0.5243], [0.5000, 0.5000, 0.7331]], "magnetic_moment_mub_per_atom": 0.0001, "raw_formation_energy_ev_per_atom": 0.0178, "sg": "Pmm2 (25)"}


# 3
{"formula": "Si2OsRu", "functional": "GGA-PBEsol", "state": "relaxed", "lattice": [[2.8796, 0.0000, 0.0000], [0.0000, 4.2632, -0.0109], [-1.4398, -1.2536, 4.1675]], "species": ["Si", "Si", "Ru", "Os"], "fractional_positions": [[0.2490, 0.6935, 0.4979], [0.0010, 0.0588, 0.0020], [0.7451, 0.1724, 0.4903], [0.5049, 0.5753, 0.0098]], "magnetic_moment_mub_per_atom": 0.0000, "raw_formation_energy_ev_per_atom": -0.5075, "sg": "Cm (8)"}


# 4
{"formula": "SiOsRu3", "functional": "GGA-PBEsol", "state": "relaxed", "lattice": [[-2.1909, 3.0686, 1.9242], [-1.5513, -2.8271, 2.7422], [3.2730, 0.7141, 2.5878]], "species": ["Ru", "Ru", "Ru", "Si", "Os"], "fractional_positions": [[0.0000, 0.5000, 0.0000], [0.0000, 0.0000, 0.5000], [0.5000, 0.0000, 0.0000], [0.0000, 0.0000, 0.0000], [0.5000, 0.5000, 0.5000]], "magnetic_moment_mub_per_atom": 0.0004, "raw_formation_energy_ev_per_atom": 1.2044, "sg": "Pm-3m (221)"}